Ni3Ru | SCAN | PBEsol geometry

As for the crystal system: tetragonal. As for the final energy: -1.522 Ry/atom. The density of states at the Fermi level comes out at 1.271 states/eV per atom.

It has space group P4/mmm (No. 123), with a = 2.538 Å, b = 2.538 Å, c = 6.907 Å, α = 90.00°, β = 90.00° and γ = 90.00°. The asymmetric unit holds Ni at (0.000, 0.000, 0.000), Ni at (0.500, 0.500, 0.243) and Ru at (0.000, 0.000, 0.500).